Density functional theory data (PBE-GGA) for a geometry-optimized Er5TlAu structure.

Cell: 6.7313 6.7313 9.2941 Å, 95.63 95.63 93.21°
With the nearest neighbours (Å) after each atom.
Element x y z (fractional)
Er1 0.0986 0.6206 0.3554  1 Au 2.91
Er2 0.1570 0.8430 0.7500  2 Au 2.79, 1 Tl 3.01
Er3 0.2127 0.3762 0.9941  1 Au 2.85, 1 Tl 3.05
Er4 0.3762 0.2127 0.4941  1 Au 2.85, 1 Tl 3.05
Er5 0.3794 0.9014 0.1446  1 Au 2.91
Er6 0.6206 0.0986 0.8554  1 Au 2.91
Er7 0.6238 0.7873 0.5059  1 Au 2.85, 1 Tl 3.05
Er8 0.7873 0.6238 0.0059  1 Au 2.85, 1 Tl 3.05
Er9 0.8430 0.1570 0.2500  2 Au 2.79, 1 Tl 3.01
Er10 0.9014 0.3794 0.6446  1 Au 2.91
Tl1 0.4647 0.5353 0.7500  5 Er 3.01-3.19
Tl2 0.5353 0.4647 0.2500  5 Er 3.01-3.19
Au1 0.0000 0.0000 0.0000  6 Er 2.79-2.91
Au2 0.0000 0.0000 0.5000  6 Er 2.79-2.91

formation enthalpy at 0 K: -21 kJ/mol of atoms
symmetry: C2/c (15)
energy: -4.278 eV/atom